{
  "formula": "LiPm2CuSe4",
  "functional": "PBE-GGA",
  "state": "relaxed",
  "space_group": "No. 10",
  "raw_formation_energy_ev_per_atom": -1.354,
  "cell": [[6.863, 0.000, 0.000], [0.000, 4.129, 0.000], [-2.840, 0.000, 6.709]],
  "species": ["Li", "Pm", "Pm", "Cu", "Se", "Se", "Se", "Se"],
  "fractional_positions": [[0.000, 0.000, 0.000], [0.500, 0.000, 0.500], [0.500, 0.500, 0.000], [0.000, 0.500, 0.500], [0.227, 0.000, 0.731], [0.238, 0.500, 0.236], [0.762, 0.500, 0.764], [0.773, 0.000, 0.269]]
}

{
  "formula": "Li3Pm2Cu12Si",
  "functional": "PBE-GGA",
  "state": "relaxed",
  "space_group": "No. 166",
  "raw_formation_energy_ev_per_atom": 0.211,
  "cell": [[4.196, 2.423, 5.543], [-4.196, 2.423, 5.543], [0.000, -4.845, 5.543]],
  "species": ["Li", "Li", "Li", "Pm", "Pm", "Cu", "Cu", "Cu", "Cu", "Cu", "Cu", "Cu", "Cu", "Cu", "Cu", "Cu", "Cu", "Si"],
  "fractional_positions": [[0.000, 0.500, 0.500], [0.500, 0.000, 0.500], [0.500, 0.500, 0.000], [0.098, 0.098, 0.098], [0.902, 0.902, 0.902], [0.110, 0.110, 0.480], [0.110, 0.480, 0.110], [0.169, 0.653, 0.653], [0.347, 0.347, 0.831], [0.347, 0.831, 0.347], [0.480, 0.110, 0.110], [0.520, 0.890, 0.890], [0.653, 0.169, 0.653], [0.653, 0.653, 0.169], [0.831, 0.347, 0.347], [0.890, 0.520, 0.890], [0.890, 0.890, 0.520], [0.500, 0.500, 0.500]]
}

{
  "formula": "LiPm2Cu3Sn4",
  "functional": "PBE-GGA",
  "state": "relaxed",
  "formation_energy_ev_per_atom": -0.44,
  "space_group": "No. 115",
  "cell": [[4.432, 0.000, 0.000], [0.000, 4.432, 0.000], [0.000, 0.000, 10.907]],
  "species": ["Li", "Pm", "Pm", "Cu", "Cu", "Cu", "Sn", "Sn", "Sn", "Sn"],
  "fractional_positions": [[0.000, 0.000, 0.000], [0.000, 0.500, 0.754], [0.500, 0.000, 0.246], [0.000, 0.500, 0.363], [0.500, 0.000, 0.637], [0.500, 0.500, 0.000], [0.000, 0.000, 0.500], [0.000, 0.500, 0.131], [0.500, 0.000, 0.869], [0.500, 0.500, 0.500]]
}

{
  "formula": "SrLiPmCu",
  "functional": "PBE-GGA",
  "state": "relaxed",
  "formation_energy_ev_per_atom": 0.08,
  "space_group": "No. 216",
  "cell": [[0.000, 3.765, 3.765], [3.765, 0.000, 3.765], [3.765, 3.765, 0.000]],
  "species": ["Sr", "Li", "Pm", "Cu"],
  "fractional_positions": [[0.000, 0.000, 0.000], [0.750, 0.750, 0.750], [0.500, 0.500, 0.500], [0.250, 0.250, 0.250]]
}

{
  "formula": "LiPmThCu",
  "functional": "PBE-GGA",
  "state": "relaxed",
  "formation_energy_ev_per_atom": 0.11,
  "space_group": "No. 216",
  "cell": [[0.000, 3.629, 3.629], [3.629, 0.000, 3.629], [3.629, 3.629, 0.000]],
  "species": ["Li", "Pm", "Th", "Cu"],
  "fractional_positions": [[0.000, 0.000, 0.000], [0.250, 0.250, 0.250], [0.750, 0.750, 0.750], [0.500, 0.500, 0.500]]
}

{
  "formula": "LiPmTlCu",
  "functional": "PBE-GGA",
  "state": "relaxed",
  "formation_energy_ev_per_atom": -0.26,
  "space_group": "No. 216",
  "cell": [[0.000, 3.420, 3.420], [3.420, 0.000, 3.420], [3.420, 3.420, 0.000]],
  "species": ["Li", "Pm", "Tl", "Cu"],
  "fractional_positions": [[0.000, 0.000, 0.000], [0.250, 0.250, 0.250], [0.750, 0.750, 0.750], [0.500, 0.500, 0.500]]
}

{
  "formula": "LiPmZn6Cu",
  "functional": "PBE-GGA",
  "state": "relaxed",
  "formation_energy_ev_per_atom": -0.02,
  "space_group": "No. 74",
  "cell": [[-3.405, 4.153, 5.835], [3.405, -4.153, 5.835], [3.405, 4.153, -5.835]],
  "species": ["Li", "Li", "Pm", "Pm", "Zn", "Zn", "Zn", "Zn", "Zn", "Zn", "Zn", "Zn", "Zn", "Zn", "Zn", "Zn", "Cu", "Cu"],
  "fractional_positions": [[0.500, 0.000, 0.000], [0.500, 0.500, 0.500], [0.047, 0.297, 0.750], [0.953, 0.703, 0.250], [0.115, 0.308, 0.188], [0.115, 0.927, 0.806], [0.250, 0.000, 0.250], [0.338, 0.588, 0.750], [0.380, 0.073, 0.688], [0.380, 0.692, 0.306], [0.620, 0.308, 0.694], [0.620, 0.927, 0.312], [0.662, 0.412, 0.250], [0.750, 0.000, 0.750], [0.885, 0.073, 0.194], [0.885, 0.692, 0.812], [0.000, 0.500, 0.500], [0.500, 0.500, 0.000]]
}

{
  "formula": "LiPmZnCu2",
  "functional": "PBE-GGA",
  "state": "relaxed",
  "formation_energy_ev_per_atom": -0.18,
  "space_group": "No. 119",
  "cell": [[-1.933, 1.933, 5.975], [1.933, -1.933, 5.975], [1.933, 1.933, -5.975]],
  "species": ["Li", "Pm", "Zn", "Cu", "Cu"],
  "fractional_positions": [[0.000, 0.000, 0.000], [0.250, 0.750, 0.500], [0.500, 0.500, 0.000], [0.645, 0.145, 0.500], [0.855, 0.355, 0.500]]
}